[1]
A plane-wave DFT calculation with PBEsol was carried out for a relaxed Tc2HgAu crystal.

Output
Formation energy from the elements in eV/atom: 0.467
Total magnetization in μB per formula unit: 0.000

a = 4.869 Å, b = 4.869 Å, c = 4.869 Å
α = 131.68°, β = 131.68°, γ = 70.74°
Sites, in units of the cell vectors:
1 Tc 0.000 0.000 0.000
2 Tc 0.750 0.250 0.500
3 Hg 0.250 0.750 0.500
4 Au 0.500 0.500 0.000



[2]
A plane-wave DFT calculation with PBEsol was carried out for a relaxed TcHgAu2 crystal.

Output
Formation energy from the elements in eV/atom: 0.394
Total magnetization in μB per formula unit: 0.068

a = 4.954 Å, b = 4.954 Å, c = 5.186 Å
α = 98.35°, β = 98.35°, γ = 32.48°
Sites, in units of the cell vectors:
1 Tc 0.000 0.000 0.000
2 Hg 0.500 0.500 0.500
3 Au 0.258 0.258 0.764
4 Au 0.742 0.742 0.236



[3]
A plane-wave DFT calculation with PBEsol was carried out for a relaxed TcHgAu2 crystal.

Output
Formation energy from the elements in eV/atom: 0.306
Total magnetization in μB per formula unit: 0.000

a = 9.535 Å, b = 9.535 Å, c = 9.535 Å
α = 17.34°, β = 17.34°, γ = 17.34°
Sites, in units of the cell vectors:
1 Tc 0.000 0.000 0.000
2 Hg 0.750 0.750 0.750
3 Au 0.256 0.256 0.256
4 Au 0.505 0.505 0.505



[4]
A plane-wave DFT calculation with PBEsol was carried out for a relaxed TcHgAu2 crystal.

Output
Formation energy from the elements in eV/atom: 0.278
Total magnetization in μB per formula unit: 0.000

a = 9.655 Å, b = 9.655 Å, c = 9.655 Å
α = 17.05°, β = 17.05°, γ = 17.05°
Sites, in units of the cell vectors:
1 Tc 0.000 0.000 0.000
2 Hg 0.500 0.500 0.500
3 Au 0.255 0.255 0.255
4 Au 0.745 0.745 0.745



| no. | total energy (eV per cell) |
| --- | --- |
| 1 | -25.16 |
| 2 | -18.10 |
| 3 | -18.46 |
| 4 | -18.57 |